Record 1
Crystalline ZrIn2I at its relaxed geometry, computed with PBE.

a = 5.4174 Å, b = 5.4174 Å, c = 5.4174 Å
α = 60.00°, β = 60.00°, γ = 60.00°
Positions (direct):
Zr1 0.0000 0.0000 0.0000
In1 0.2500 0.2500 0.2500
In2 0.7500 0.7500 0.7500
I1 0.5000 0.5000 0.5000

Calculated values
Its energy above the lowest structure with this stoichiometry is 0.79 eV/f.u. The calculation puts the uncorrected formation energy at 0.467 eV/atom. The density of states at the Fermi level comes out at 4.900 states/eV per cell. Its total energy is -3.43 eV/atom.

***

Record 2
Crystalline ZrInI at its relaxed geometry, computed with PBE.

a = 12.0360 Å, b = 12.0360 Å, c = 4.5237 Å
α = 90.00°, β = 90.00°, γ = 162.97°
Positions (direct):
Zr1 0.0805 0.9195 0.7500
Zr2 0.9195 0.0805 0.2500
In1 0.4607 0.5393 0.7500
In2 0.5393 0.4607 0.2500
I1 0.3234 0.6766 0.2500
I2 0.6766 0.3234 0.7500

Calculated values
Its energy above the lowest structure with this stoichiometry is 0.00 eV/f.u. The calculation puts the uncorrected formation energy at -0.408 eV/atom. The density of states at the Fermi level comes out at 3.310 states/eV per cell. Its total energy is -4.69 eV/atom.